Here is a geometry-optimized Ba2AgRu structure from Alexandria via LeMat-Bulk. Energies are from PBE.

abc: 3.839 3.839 9.060
angles: 90.00 90.00 90.01
Fractional coordinates of all 4 atoms:
1 Ba 0.500 0.500 0.342
2 Ag 0.500 0.500 0.676
3 Ru 0.000 0.000 0.582
4 Ba 0.000 0.000 0.899

Calculated values
**SG**: P4mm
**Distance to the lowest polymorph of the same formula**: 160.1 meV/atom
**ΔH_f (0 K)**: 1.653 eV/f.u.
**Uncorrected energy**: -3.580 eV/atom